Density functional theory data (PBE-GGA) for an optimized crystal structure of NdYPdAu.

Cell: 7.2441 7.2441 7.2441 Å, 90.00 90.00 90.00°
With the nearest neighbours (Å) after each atom.
Space group F-43m (No. 216)
One atom of each set of equivalent atoms:
1 Nd 0.0000 0.0000 0.0000 [4 per cell]  4 Pd 3.14, 4 Au 3.14
2 Y 0.0000 0.0000 0.5000 [4 per cell]  4 Pd 3.14, 4 Au 3.14
3 Pd 0.2500 0.2500 0.2500 [4 per cell]  4 Nd 3.14, 4 Y 3.14
4 Au 0.2500 0.2500 0.7500 [4 per cell]  4 Nd 3.14, 4 Y 3.14

## Properties
For the energy above the lowest structure with this stoichiometry, the calculation gives 0.0518 eV per atom. The value obtained for the magnetization is 0.000 μB per atom. The total energy comes out at -5.720 eV/atom. Its formation energy is -3.18 eV per formula unit.

Density functional theory data (PBE-GGA) for an optimized crystal structure of NdZn3PdAu.

Cell: 8.0488 11.2842 5.5829 Å, 90.00 90.00 90.00°
With the nearest neighbours (Å) after each atom.
Space group Cmcm (No. 63)
One atom of each set of equivalent atoms:
1 Nd 0.0000 0.1974 0.2500 [4 per cell]  1 Pd 2.76, 2 Au 3.01
2 Zn 0.0000 0.3333 0.7500 [4 per cell]  1 Pd 2.54, 1 Au 2.66
3 Zn 0.2474 0.0000 0.0000 [8 per cell]  2 Pd 2.55, 2 Au 2.67, 2 Zn 2.79
4 Pd 0.0000 0.4416 0.2500 [4 per cell]  5 Zn 2.54-2.55, 1 Nd 2.76
5 Au 0.0000 0.0974 0.7500 [4 per cell]  5 Zn 2.66-2.67

## Properties
The value obtained for the magnetization is 0.000 μB per atom. The total energy comes out at -3.172 eV/atom. Its formation energy is -1.97 eV per formula unit.

Density functional theory data (PBE-GGA) for an optimized crystal structure of NdZnPdAu.

Cell: 7.8186 4.5325 5.4181 Å, 90.00 118.84 90.00°
With the nearest neighbours (Å) after each atom.
Space group Cm (No. 8)
One atom of each set of equivalent atoms:
1 Nd 0.0000 0.0000 0.0000 [2 per cell]  4 Pd 3.05-3.11, 4 Au 3.07-3.11, 3 Zn 3.41-3.42
2 Zn 0.0120 0.5000 0.5361 [2 per cell]  3 Pd 2.66, 3 Au 2.75
3 Pd 0.2145 0.0000 0.6436 [2 per cell]  3 Zn 2.66, 3 Au 2.95
4 Au 0.2843 0.5000 0.3539 [2 per cell]  3 Zn 2.75, 3 Pd 2.95, 1 Nd 3.07

## Properties
For the energy above the lowest structure with this stoichiometry, the calculation gives 0.0000 eV per atom. The value obtained for the magnetization is 0.000 μB per atom. The total energy comes out at -4.297 eV/atom. Its formation energy is -2.68 eV per formula unit.

Density functional theory data (PBE-GGA) for an optimized crystal structure of NdZnPdAu.

Cell: 6.9002 6.9002 6.9002 Å, 90.00 90.00 90.00°
With the nearest neighbours (Å) after each atom.
Space group F-43m (No. 216)
One atom of each set of equivalent atoms:
1 Nd 0.0000 0.0000 0.0000 [4 per cell]  4 Pd 2.99, 4 Au 2.99
2 Zn 0.0000 0.0000 0.5000 [4 per cell]  4 Pd 2.99, 4 Au 2.99
3 Pd 0.2500 0.2500 0.2500 [4 per cell]  4 Nd 2.99, 4 Zn 2.99
4 Au 0.2500 0.2500 0.7500 [4 per cell]  4 Nd 2.99, 4 Zn 2.99

## Properties
For the energy above the lowest structure with this stoichiometry, the calculation gives 0.0978 eV per atom. The value obtained for the magnetization is 0.000 μB per atom. The total energy comes out at -4.199 eV/atom. Its formation energy is -2.28 eV per formula unit.

Density functional theory data (PBE-GGA) for an optimized crystal structure of NdZrPdAu.

Cell: 7.0701 7.0701 7.0701 Å, 90.00 90.00 90.00°
With the nearest neighbours (Å) after each atom.
Space group F-43m (No. 216)
One atom of each set of equivalent atoms:
1 Nd 0.0000 0.0000 0.0000 [4 per cell]  4 Pd 3.06, 4 Au 3.06
2 Zr 0.0000 0.0000 0.5000 [4 per cell]  4 Au 3.06, 4 Pd 3.06
3 Pd 0.2500 0.2500 0.2500 [4 per cell]  4 Zr 3.06, 4 Nd 3.06
4 Au 0.2500 0.2500 0.7500 [4 per cell]  4 Zr 3.06, 4 Nd 3.06

## Properties
The value obtained for the magnetization is 0.000 μB per atom. The total energy comes out at -5.963 eV/atom. Its formation energy is -2.07 eV per formula unit.

Density functional theory data (PBE-GGA) for an optimized crystal structure of PmNd2Au.

Cell: 3.7413 3.7413 8.6739 Å, 90.00 90.00 90.00°
With the nearest neighbours (Å) after each atom.
Space group P4/mmm (No. 123)
One atom of each set of equivalent atoms:
1 Pm 0.0000 0.0000 0.0000 [1 per cell]  8 Nd 3.66, 4 Pm 3.74
2 Nd 0.5000 0.5000 0.2917 [2 per cell]  4 Au 3.20
3 Au 0.0000 0.0000 0.5000 [1 per cell]  8 Nd 3.20

## Properties
For the energy above the lowest structure with this stoichiometry, the calculation gives 0.0388 eV per atom. The value obtained for the magnetization is 0.000 μB per atom. The total energy comes out at -4.745 eV/atom. Its formation energy is -1.41 eV per formula unit.